A plane-wave DFT calculation with PBE was carried out for a relaxed structure of Pr8ZnRu3Br4.

Lattice parameters (Å, degrees): 14.438 8.334 9.255 90.00 121.38 90.00
Space group C2/m (No. 12)
Asymmetric unit:
Pr: 0.021 0.239 0.303 (multiplicity 8)
Pr: 0.234 0.000 0.702 (multiplicity 4)
Pr: 0.240 0.500 0.697 (multiplicity 4)
Zn: 0.000 0.500 0.500 (multiplicity 2)
Ru: 0.000 0.000 0.500 (multiplicity 2)
Ru: 0.250 0.250 0.500 (multiplicity 4)
Br: 0.000 0.000 0.000 (multiplicity 2)
Br: 0.000 0.500 0.000 (multiplicity 2)
Br: 0.250 0.250 0.000 (multiplicity 4)

ρ, g/cm³: 6.3
DOS at the Fermi energy, states/eV per cell: 15.25
Raw total energy, eV per atom: -5.40
Formation energy from raw total energies, eV/atom: -0.774
Total magnetic moment, Bohr magnetons per cell: 0.00



A plane-wave DFT calculation with PBE was carried out for a relaxed structure of Pr6ZnRu2Br3.

Lattice parameters (Å, degrees): 7.246 12.553 8.270 90.00 106.94 90.00
Space group C2/m (No. 12)
Asymmetric unit:
Pr: 0.211 0.000 0.201 (multiplicity 4)
Pr: 0.245 0.322 0.201 (multiplicity 8)
Zn: 0.000 0.500 0.000 (multiplicity 2)
Ru: 0.000 0.167 0.000 (multiplicity 4)
Br: 0.000 0.000 0.500 (multiplicity 2)
Br: 0.000 0.333 0.500 (multiplicity 4)

ρ, g/cm³: 6.2
DOS at the Fermi energy, states/eV per cell: 12.50
Raw total energy, eV per atom: -5.24
Formation energy from raw total energies, eV/atom: -0.781
Total magnetic moment, Bohr magnetons per cell: 0.00



A plane-wave DFT calculation with PBE was carried out for a relaxed structure of Pr6S8Br.

Lattice parameters (Å, degrees): 8.1563 8.1563 20.8678 90.00 90.00 120.00
Space group R-3 (No. 148, hexagonal axes)
Asymmetric unit:
Pr: 0.0021 0.6433 0.0836 (multiplicity 18)
S: 0.0000 0.0000 0.3322 (multiplicity 6)
S: 0.0012 0.3123 0.1135 (multiplicity 18)
Br: 0.0000 0.0000 0.0000 (multiplicity 3)

ρ, g/cm³: 4.9
DOS at the Fermi energy, states/eV per cell: 16.22
Raw total energy, eV per atom: -6.16
Formation energy from raw total energies, eV/atom: -1.933
Total magnetic moment, Bohr magnetons per cell: 0.00



A plane-wave DFT calculation with PBE was carried out for a relaxed structure of Pr2SBr.

Lattice parameters (Å, degrees): 3.8500 3.8500 24.9536 90.00 90.00 120.00
Space group R3m (No. 160, hexagonal axes)
Asymmetric unit:
Pr: 0.0000 0.0000 0.0000 (multiplicity 3)
Pr: 0.0000 0.0000 0.1504 (multiplicity 3)
S: 0.0000 0.0000 0.4090 (multiplicity 3)
Br: 0.0000 0.0000 0.5746 (multiplicity 3)

ρ, g/cm³: 6.1
DOS at the Fermi energy, states/eV per cell: 10.90
Raw total energy, eV per atom: -5.34
Formation energy from raw total energies, eV/atom: -1.499
Total magnetic moment, Bohr magnetons per cell: 0.62



A plane-wave DFT calculation with PBE was carried out for a relaxed structure of Pr5S4Br.

Lattice parameters (Å, degrees): 4.0623 4.0623 53.4515 90.00 90.00 120.00
Space group R-3m (No. 166, hexagonal axes)
Asymmetric unit:
Pr: 0.0000 0.0000 0.0000 (multiplicity 3)
Pr: 0.0000 0.0000 0.2085 (multiplicity 6)
Pr: 0.0000 0.0000 0.3979 (multiplicity 6)
S: 0.0000 0.0000 0.0954 (multiplicity 6)
S: 0.0000 0.0000 0.3013 (multiplicity 6)
Br: 0.0000 0.0000 0.5000 (multiplicity 3)

ρ, g/cm³: 6.0
DOS at the Fermi energy, states/eV per cell: 18.96
Raw total energy, eV per atom: -6.05
Formation energy from raw total energies, eV/atom: -1.844
Total magnetic moment, Bohr magnetons per cell: 0.00



A plane-wave DFT calculation with PBE was carried out for a relaxed structure of Pr4S6Br.

Lattice parameters (Å, degrees): 8.7439 8.7439 4.0626 90.00 90.00 120.00
Space group P-6m2 (No. 187)
Asymmetric unit:
Pr: 0.0000 0.0000 0.0000 (multiplicity 1)
Pr: 0.5103 0.0207 0.5000 (multiplicity 3)
S: 0.1389 0.2777 0.5000 (multiplicity 3)
S: 0.4196 0.2098 0.0000 (multiplicity 3)
Br: 0.3333 0.6667 0.0000 (multiplicity 1)

ρ, g/cm³: 5.2
DOS at the Fermi energy, states/eV per cell: 7.53
Raw total energy, eV per atom: -5.93
Formation energy from raw total energies, eV/atom: -1.786
Total magnetic moment, Bohr magnetons per cell: 0.00



A plane-wave DFT calculation with PBE was carried out for a relaxed structure of Pr2SBr.

Lattice parameters (Å, degrees): 4.0372 4.0372 23.0092 90.00 90.00 120.00
Space group R-3m (No. 166, hexagonal axes)
Asymmetric unit:
Pr: 0.0000 0.0000 0.2340 (multiplicity 6)
S: 0.0000 0.0000 0.5000 (multiplicity 3)
Br: 0.0000 0.0000 0.0000 (multiplicity 3)

ρ, g/cm³: 6.0
DOS at the Fermi energy, states/eV per cell: 4.85
Raw total energy, eV per atom: -5.44
Formation energy from raw total energies, eV/atom: -1.605
Total magnetic moment, Bohr magnetons per cell: 0.00



A plane-wave DFT calculation with PBE was carried out for a relaxed structure of Pr3SBr7.

Lattice parameters (Å, degrees): 8.7239 8.7239 6.9626 90.00 90.00 120.00
Space group P3m1 (No. 156)
Asymmetric unit:
Pr: 0.0126 0.5063 0.0000 (multiplicity 3)
S: 0.3333 0.6667 0.1908 (multiplicity 1)
Br: 0.1728 0.3456 0.7612 (multiplicity 3)
Br: 0.3506 0.1753 0.2204 (multiplicity 3)
Br: 0.6667 0.3333 0.7575 (multiplicity 1)

ρ, g/cm³: 3.7
DOS at the Fermi energy, states/eV per cell: 0.00
Raw total energy, eV per atom: -4.61
Formation energy from raw total energies, eV/atom: -1.870
Total magnetic moment, Bohr magnetons per cell: 0.15



A plane-wave DFT calculation with PBE was carried out for a relaxed structure of PrS6Br2.

Lattice parameters (Å, degrees): 4.416 8.074 9.302 113.06 92.66 91.78
Space group P-1 (No. 2)
Asymmetric unit:
Pr: 0.000 0.000 0.000 (multiplicity 1)
S: 0.095 0.722 0.455 (multiplicity 2)
S: 0.100 0.499 0.713 (multiplicity 2)
S: 0.107 0.284 0.309 (multiplicity 2)
Br: 0.495 0.828 0.101 (multiplicity 2)

ρ, g/cm³: 2.7
DOS at the Fermi energy, states/eV per cell: 3.15
Raw total energy, eV per atom: -4.19
Formation energy from raw total energies, eV/atom: -0.535
Total magnetic moment, Bohr magnetons per cell: 0.69



A plane-wave DFT calculation with PBE was carried out for a relaxed structure of Pr4S4Br3.

Lattice parameters (Å, degrees): 4.233 8.351 16.248 90.00 90.00 90.00
Space group Immm (No. 71)
Asymmetric unit:
Pr: 0.000 0.000 0.233 (multiplicity 4)
Pr: 0.000 0.224 0.500 (multiplicity 4)
S: 0.000 0.300 0.332 (multiplicity 8)
Br: 0.000 0.000 0.000 (multiplicity 2)
Br: 0.000 0.500 0.097 (multiplicity 4)

ρ, g/cm³: 5.4
DOS at the Fermi energy, states/eV per cell: 2.43
Raw total energy, eV per atom: -5.51
Formation energy from raw total energies, eV/atom: -1.813
Total magnetic moment, Bohr magnetons per cell: 0.00



A plane-wave DFT calculation with PBE was carried out for a relaxed structure of Pr4S3Br.

Lattice parameters (Å, degrees): 4.0937 4.0937 28.3292 90.00 90.00 120.00
Space group P6_3/mmc (No. 194)
Asymmetric unit:
Pr: 0.0000 0.0000 0.1721 (multiplicity 4)
Pr: 0.3333 0.6667 0.0619 (multiplicity 4)
S: 0.0000 0.0000 0.0000 (multiplicity 2)
S: 0.3333 0.6667 0.6183 (multiplicity 4)
Br: 0.3333 0.6667 0.2500 (multiplicity 2)

ρ, g/cm³: 6.0
DOS at the Fermi energy, states/eV per cell: 6.74
Raw total energy, eV per atom: -5.96
Formation energy from raw total energies, eV/atom: -1.816
Total magnetic moment, Bohr magnetons per cell: 0.00



A plane-wave DFT calculation with PBE was carried out for a relaxed structure of Pr4S5Br.

Lattice parameters (Å, degrees): 8.867 9.971 6.973 90.00 90.00 90.00
Space group Pmmn (No. 59, origin choice 2)
Asymmetric unit:
Pr: 0.022 0.250 0.015 (multiplicity 4)
Pr: 0.250 0.025 0.513 (multiplicity 4)
S: 0.011 0.546 0.248 (multiplicity 8)
S: 0.250 0.250 0.284 (multiplicity 2)
Br: 0.250 0.750 0.714 (multiplicity 2)

ρ, g/cm³: 4.3
DOS at the Fermi energy, states/eV per cell: 1.52
Raw total energy, eV per atom: -5.93
Formation energy from raw total energies, eV/atom: -1.790
Total magnetic moment, Bohr magnetons per cell: 2.02



A plane-wave DFT calculation with PBE was carried out for a relaxed structure of Pr7SBr12.

Lattice parameters (Å, degrees): 15.2324 15.2324 10.1576 90.00 90.00 120.00
Space group R-3 (No. 148, hexagonal axes)
Asymmetric unit:
Pr: 0.0000 0.0000 0.0000 (multiplicity 3)
Pr: 0.0443 0.1631 0.3443 (multiplicity 18)
S: 0.0000 0.0000 0.5000 (multiplicity 3)
Br: 0.0241 0.5864 0.1629 (multiplicity 18)
Br: 0.0503 0.1850 0.8407 (multiplicity 18)

ρ, g/cm³: 4.8
DOS at the Fermi energy, states/eV per cell: 9.60
Raw total energy, eV per atom: -4.65
Formation energy from raw total energies, eV/atom: -1.770
Total magnetic moment, Bohr magnetons per cell: 0.00



A plane-wave DFT calculation with PBE was carried out for a relaxed structure of Pr6Se3S2Br.

Lattice parameters (Å, degrees): 7.357 12.619 7.281 90.00 109.14 90.00
Space group C2/m (No. 12)
Asymmetric unit:
Pr: 0.217 0.000 0.234 (multiplicity 4)
Pr: 0.238 0.180 0.755 (multiplicity 8)
Se: 0.000 0.000 0.500 (multiplicity 2)
Se: 0.000 0.344 0.500 (multiplicity 4)
S: 0.000 0.169 0.000 (multiplicity 4)
Br: 0.000 0.500 0.000 (multiplicity 2)

ρ, g/cm³: 6.4
DOS at the Fermi energy, states/eV per cell: 10.64
Raw total energy, eV per atom: -5.87
Formation energy from raw total energies, eV/atom: -1.781
Total magnetic moment, Bohr magnetons per cell: 0.00



A plane-wave DFT calculation with PBE was carried out for a relaxed structure of Pr8Se4S3Br.

Lattice parameters (Å, degrees): 8.4254 8.4254 20.6998 90.00 90.00 120.00
Space group R-3m (No. 166, hexagonal axes)
Asymmetric unit:
Pr: 0.0000 0.0000 0.2430 (multiplicity 6)
Pr: 0.0226 0.5113 0.7522 (multiplicity 18)
Se: 0.0000 0.0000 0.0000 (multiplicity 3)
Se: 0.0000 0.5000 0.0000 (multiplicity 9)
S: 0.0000 0.5000 0.5000 (multiplicity 9)
Br: 0.0000 0.0000 0.5000 (multiplicity 3)

ρ, g/cm³: 6.3
DOS at the Fermi energy, states/eV per cell: 25.16
Raw total energy, eV per atom: -5.95
Formation energy from raw total energies, eV/atom: -1.814
Total magnetic moment, Bohr magnetons per cell: 0.00



A plane-wave DFT calculation with PBE was carried out for a relaxed structure of Pr8SeS3Br4.

Lattice parameters (Å, degrees): 8.1549 8.1549 22.9557 90.00 90.00 120.00
Space group R-3m (No. 166, hexagonal axes)
Asymmetric unit:
Pr: 0.0000 0.0000 0.2331 (multiplicity 6)
Pr: 0.0123 0.5061 0.7648 (multiplicity 18)
Se: 0.0000 0.0000 0.5000 (multiplicity 3)
S: 0.0000 0.5000 0.5000 (multiplicity 9)
Br: 0.0000 0.0000 0.0000 (multiplicity 3)
Br: 0.0000 0.5000 0.0000 (multiplicity 9)

ρ, g/cm³: 6.1
DOS at the Fermi energy, states/eV per cell: 19.03
Raw total energy, eV per atom: -5.37
Formation energy from raw total energies, eV/atom: -1.573
Total magnetic moment, Bohr magnetons per cell: 0.00



A plane-wave DFT calculation with PBE was carried out for a relaxed structure of Pr6SeS2Br3.

Lattice parameters (Å, degrees): 7.095 12.279 8.001 90.00 107.16 90.00
Space group C2/m (No. 12)
Asymmetric unit:
Pr: 0.222 0.000 0.203 (multiplicity 4)
Pr: 0.241 0.327 0.204 (multiplicity 8)
Se: 0.000 0.500 0.000 (multiplicity 2)
S: 0.000 0.167 0.000 (multiplicity 4)
Br: 0.000 0.000 0.500 (multiplicity 2)
Br: 0.000 0.336 0.500 (multiplicity 4)

ρ, g/cm³: 6.1
DOS at the Fermi energy, states/eV per cell: 11.16
Raw total energy, eV per atom: -5.35
Formation energy from raw total energies, eV/atom: -1.559
Total magnetic moment, Bohr magnetons per cell: 0.00



A plane-wave DFT calculation with PBE was carried out for a relaxed structure of Pr6Si2SBr3.

Lattice parameters (Å, degrees): 7.327 12.695 7.841 90.00 108.18 90.00
Space group C2/m (No. 12)
Asymmetric unit:
Pr: 0.234 0.166 0.206 (multiplicity 8)
Pr: 0.238 0.500 0.206 (multiplicity 4)
Si: 0.000 0.334 0.000 (multiplicity 4)
S: 0.000 0.000 0.000 (multiplicity 2)
Br: 0.000 0.170 0.500 (multiplicity 4)
Br: 0.000 0.500 0.500 (multiplicity 2)

ρ, g/cm³: 5.6
DOS at the Fermi energy, states/eV per cell: 10.51
Raw total energy, eV per atom: -5.35
Formation energy from raw total energies, eV/atom: -1.289
Total magnetic moment, Bohr magnetons per cell: 0.00



A plane-wave DFT calculation with PBE was carried out for a relaxed structure of Pr6Si3S2Br.

Lattice parameters (Å, degrees): 18.583 4.267 8.552 90.00 103.07 90.00
Space group C2/m (No. 12)
Asymmetric unit:
Pr: 0.001 0.000 0.269 (multiplicity 4)
Pr: 0.167 0.500 0.585 (multiplicity 4)
Pr: 0.174 0.500 0.086 (multiplicity 4)
Si: 0.000 0.500 0.500 (multiplicity 2)
Si: 0.164 0.000 0.833 (multiplicity 4)
S: 0.167 0.000 0.333 (multiplicity 4)
Br: 0.000 0.500 0.000 (multiplicity 2)

ρ, g/cm³: 5.4
DOS at the Fermi energy, states/eV per cell: 5.23
Raw total energy, eV per atom: -5.82
Formation energy from raw total energies, eV/atom: -1.252
Total magnetic moment, Bohr magnetons per cell: 0.00



A plane-wave DFT calculation with PBE was carried out for a relaxed structure of Pr8Si3SBr4.

Lattice parameters (Å, degrees): 14.720 8.497 8.908 90.00 123.43 90.00
Space group C2/m (No. 12)
Asymmetric unit:
Pr: 0.014 0.249 0.294 (multiplicity 8)
Pr: 0.235 0.000 0.706 (multiplicity 4)
Pr: 0.238 0.500 0.712 (multiplicity 4)
Si: 0.000 0.500 0.500 (multiplicity 2)
Si: 0.250 0.250 0.500 (multiplicity 4)
S: 0.000 0.000 0.500 (multiplicity 2)
Br: 0.000 0.000 0.000 (multiplicity 2)
Br: 0.000 0.500 0.000 (multiplicity 2)
Br: 0.250 0.250 0.000 (multiplicity 4)

ρ, g/cm³: 5.6
DOS at the Fermi energy, states/eV per cell: 13.52
Raw total energy, eV per atom: -5.32
Formation energy from raw total energies, eV/atom: -1.241
Total magnetic moment, Bohr magnetons per cell: 0.00